# 1
# PBE MgSnB2H, optimized geometry
data_MgSnB2H
_space_group_name_H-M_alt 'P 1'
_space_group_IT_number 1
_cell_length_a 4.145
_cell_length_b 3.772
_cell_length_c 4.145
_cell_angle_alpha 90.00
_cell_angle_beta 90.00
_cell_angle_gamma 90.00
loop_
_space_group_symop_operation_xyz
'x,y,z'
loop_
_atom_site_label
_atom_site_fract_x
_atom_site_fract_y
_atom_site_fract_z
B1 0.500 0.000 0.000
Sn1 0.000 0.500 0.000
B2 0.000 0.000 0.500
Mg1 0.500 0.500 0.500
H1 0.000 0.000 0.000
# E_tot (eV/atom): -3.1414
# Volume (Å³/atom): 12.96
# N(E_F) (states/eV/cell): 1.64

***

# 2
# PBE MgTiBH2, optimized geometry
data_MgTiBH2
_space_group_name_H-M_alt 'P 1'
_space_group_IT_number 1
_cell_length_a 3.737
_cell_length_b 4.285
_cell_length_c 3.737
_cell_angle_alpha 90.00
_cell_angle_beta 90.00
_cell_angle_gamma 90.00
loop_
_space_group_symop_operation_xyz
'x,y,z'
loop_
_atom_site_label
_atom_site_fract_x
_atom_site_fract_y
_atom_site_fract_z
H1 0.500 0.000 0.000
H2 0.000 0.000 0.500
Ti1 0.000 0.500 0.000
B1 0.000 0.000 0.000
Mg1 0.500 0.500 0.500
# E_tot (eV/atom): -3.5156
# Volume (Å³/atom): 11.97
# N(E_F) (states/eV/cell): 3.39

***

What did the second record say?
# PBE MgTiBH2, optimized geometry
data_MgTiBH2
_space_group_name_H-M_alt 'P 1'
_space_group_IT_number 1
_cell_length_a 3.737
_cell_length_b 4.285
_cell_length_c 3.737
_cell_angle_alpha 90.00
_cell_angle_beta 90.00
_cell_angle_gamma 90.00
loop_
_space_group_symop_operation_xyz
'x,y,z'
loop_
_atom_site_label
_atom_site_fract_x
_atom_site_fract_y
_atom_site_fract_z
H1 0.500 0.000 0.000
H2 0.000 0.000 0.500
Ti1 0.000 0.500 0.000
B1 0.000 0.000 0.000
Mg1 0.500 0.500 0.500
# E_tot (eV/atom): -3.5156
# Volume (Å³/atom): 11.97
# N(E_F) (states/eV/cell): 3.39

***

> What is the N(E_F) in the first record?

1.64 states/eV/cell

***

> What is the N(E_F) in the first record?

1.64 states/eV/cell